# AcPuS4, relaxed, DFT PBE-GGA
# - Total magnetic moment: 5.29 μB per formula unit
# - Uncorrected formation energy: -8.3 eV/f.u.
data_AcPuS4
_chemical_formula_sum 'Ac2 Pu2 S8'
_space_group_name_H-M_alt 'C m m m'
_space_group_IT_number 65
_space_group_name_Hall '-C 2 2'
_cell_length_a 5.449
_cell_length_b 7.178
_cell_length_c 7.674
_cell_angle_alpha 90.00
_cell_angle_beta 90.00
_cell_angle_gamma 90.00
loop_
_atom_site_label
_atom_site_fract_x
_atom_site_fract_y
_atom_site_fract_z
Ac1 0.000 0.000 0.000
Pu1 0.000 0.000 0.500
S1 0.250 0.250 0.266

---

# AcPuS, relaxed, DFT PBE-GGA
# - Total magnetic moment: 6.36 μB per formula unit
# - Uncorrected formation energy: -2.3 eV/f.u.
# - Polymorph energy (0 for the lowest one): 239 meV per atom
data_AcPuS
_chemical_formula_sum 'Ac2 Pu2 S2'
_space_group_name_H-M_alt 'I 4 m m'
_space_group_IT_number 107
_space_group_name_Hall 'I 4 -2'
_cell_length_a 3.624
_cell_length_b 3.624
_cell_length_c 13.272
_cell_angle_alpha 90.00
_cell_angle_beta 90.00
_cell_angle_gamma 90.00
loop_
_atom_site_label
_atom_site_fract_x
_atom_site_fract_y
_atom_site_fract_z
Ac1 0.000 0.000 0.000
Pu1 0.000 0.000 0.737
S1 0.000 0.000 0.347

---

# AcPuS3, relaxed, DFT PBE-GGA
# - Total magnetic moment: 5.00 μB per formula unit
# - Uncorrected formation energy: -9.5 eV/f.u.
# - Polymorph energy (0 for the lowest one): 14 meV per atom
data_AcPuS3
_chemical_formula_sum 'Ac2 Pu2 S6'
_space_group_name_H-M_alt 'P m m n'
_space_group_IT_number 59
_cell_length_a 4.171
_cell_length_b 6.644
_cell_length_c 9.037
_cell_angle_alpha 90.00
_cell_angle_beta 90.00
_cell_angle_gamma 90.00
loop_
_space_group_symop_operation_xyz
'x,y,z'
'-x,-y,-z'
'-x+1/2,-y+1/2,z'
'x+1/2,y+1/2,-z'
'x+1/2,-y,-z'
'-x+1/2,y,z'
'-x,y+1/2,-z'
'x,-y+1/2,z'
loop_
_atom_site_label
_atom_site_fract_x
_atom_site_fract_y
_atom_site_fract_z
Ac1 0.250 0.250 0.147
Pu1 0.250 0.750 0.404
S1 0.250 0.514 0.661
S2 0.250 0.750 0.080

---

# Ac2PuS4, relaxed, DFT PBE-GGA
# - Total magnetic moment: 5.71 μB per formula unit
# - Uncorrected formation energy: -12.2 eV/f.u.
data_Ac2PuS4
_chemical_formula_sum 'Ac4 Pu2 S8'
_space_group_name_H-M_alt 'P 1 21/m 1'
_space_group_IT_number 11
_cell_length_a 7.775
_cell_length_b 7.333
_cell_length_c 8.255
_cell_angle_alpha 90.00
_cell_angle_beta 105.28
_cell_angle_gamma 90.00
loop_
_space_group_symop_operation_xyz
'x,y,z'
'-x,-y,-z'
'-x,y+1/2,-z'
'x,-y+1/2,z'
loop_
_atom_site_label
_atom_site_fract_x
_atom_site_fract_y
_atom_site_fract_z
Ac1 0.157 0.250 0.039
Ac2 0.189 0.250 0.542
Pu1 0.317 0.750 0.833
S1 0.023 0.509 0.748
S2 0.450 0.250 0.869
S3 0.453 0.250 0.350

---

uncorrected formation energy of number 4 (Ac2PuS4)?
-12.2 eV/f.u.